Compound: Tb9Y4Ho11
Source: Alexandria
Functional: PBE
Structure: optimized geometry

It has space group Cmmm (No. 65), with a = 16.638 Å, b = 25.198 Å, c = 3.657 Å, α = 90.00°, β = 90.00° and γ = 90.00°. The distinct sites, in fractional coordinates, are Tb at (0.000, 0.000, 0.000), Tb at (0.102, 0.233, 0.000), Tb at (0.140, 0.427, 0.000), Y at (0.156, 0.101, 0.000), Ho at (0.000, 0.133, 0.500), Ho at (0.000, 0.339, 0.500), Ho at (0.000, 0.500, 0.500), Ho at (0.211, 0.000, 0.500) and Ho at (0.225, 0.319, 0.500).

The value obtained for the energy of formation is 0.0579 eV per atom.